DFT (GGA-PBEsol) results for a relaxed Ti4Co5Ni crystal.

Crystal system: tetragonal
VASP energy in eV/atom: -8.13
Magnetization in μB per cell: 0.69
Formation energy from the elements in eV/atom: -0.31
DOS(E_F) in states/eV/f.u.: 11.3
Mass density in g/cm3: 7.5

a b c (Å): 2.980 2.980 13.620
angles (deg): 90.00 90.00 90.00
Fractional coordinates of all 10 atoms:
Ti1 0.000 0.000 0.105
Ti2 0.000 0.000 0.318
Ti3 0.000 0.000 0.682
Ti4 0.000 0.000 0.895
Co1 0.500 0.500 0.000
Co2 0.500 0.500 0.206
Co3 0.500 0.500 0.409
Co4 0.500 0.500 0.591
Co5 0.500 0.500 0.794
Ni1 0.000 0.000 0.500